No. 1
This record from the Alexandria database describes a relaxed structure of TbPmO. The functional is PBE-GGA.

Calculated values
ΔE_f (raw)	-5.2	eV per formula unit
energy above the most stable polymorph in this dataset	0	meV/atom
final energy	-6.529	eV per atom

a = 3.590 Å, b = 3.590 Å, c = 5.940 Å
α = 90.00°, β = 90.00°, γ = 120.00°
Atoms (fractional coordinates):
Pm (0.000, 0.000, 0.095)
O (0.667, 0.333, 0.348)
Tb (0.333, 0.667, 0.557)

---

No. 2
This record from the Alexandria database describes a relaxed structure of TbPmO. The functional is PBE-GGA.

Calculated values
ΔE_f (raw)	-5.1	eV per formula unit
energy above the most stable polymorph in this dataset	36	meV/atom
final energy	-6.493	eV per atom

a = 3.596 Å, b = 3.596 Å, c = 12.132 Å
α = 81.48°, β = 81.48°, γ = 60.00°
Atoms (fractional coordinates):
Pm (0.212, 0.212, 0.364)
Pm (0.788, 0.788, 0.636)
Tb (0.953, 0.953, 0.140)
Tb (0.047, 0.047, 0.860)
O (0.412, 0.412, 0.765)
O (0.588, 0.588, 0.235)

---

No. 3
This record from the Alexandria database describes a relaxed structure of TbPm3O. The functional is PBE-GGA.

Calculated values
ΔE_f (raw)	-5.5	eV per formula unit
final energy	-5.870	eV per atom

a = 5.063 Å, b = 5.063 Å, c = 5.063 Å
α = 90.00°, β = 90.00°, γ = 90.00°
Atoms (fractional coordinates):
Pm (0.500, 0.000, 0.000)
Pm (0.000, 0.000, 0.500)
Pm (0.000, 0.500, 0.000)
O (0.000, 0.000, 0.000)
Tb (0.500, 0.500, 0.500)

---

No. 4
This record from the Alexandria database describes a relaxed structure of TbPm6O12. The functional is PBE-GGA.

Calculated values
ΔE_f (raw)	-58.4	eV per formula unit
final energy	-7.948	eV per atom

a = 6.805 Å, b = 6.805 Å, c = 6.805 Å
α = 99.45°, β = 99.45°, γ = 99.45°
Atoms (fractional coordinates):
O (0.062, 0.320, 0.936)
O (0.680, 0.064, 0.938)
O (0.419, 0.560, 0.822)
O (0.560, 0.822, 0.419)
O (0.440, 0.178, 0.581)
O (0.320, 0.936, 0.062)
O (0.938, 0.680, 0.064)
O (0.936, 0.062, 0.320)
O (0.822, 0.419, 0.560)
O (0.064, 0.938, 0.680)
O (0.581, 0.440, 0.178)
O (0.178, 0.581, 0.440)
Pm (0.862, 0.704, 0.392)
Pm (0.704, 0.392, 0.862)
Pm (0.392, 0.862, 0.704)
Pm (0.296, 0.608, 0.138)
Pm (0.138, 0.296, 0.608)
Pm (0.608, 0.138, 0.296)
Tb (0.000, 0.000, 0.000)

---

No. 5
This record from the Alexandria database describes a relaxed structure of Tb2PmO. The functional is PBE-GGA.

Calculated values
ΔE_f (raw)	-5.4	eV per formula unit
energy above the most stable polymorph in this dataset	0	meV/atom
final energy	-6.083	eV per atom

a = 3.543 Å, b = 3.543 Å, c = 9.088 Å
α = 78.76°, β = 78.76°, γ = 60.00°
Atoms (fractional coordinates):
Tb (0.718, 0.718, 0.845)
Tb (0.282, 0.282, 0.155)
Pm (0.500, 0.500, 0.500)
O (0.000, 0.000, 0.000)

---

No. 6
This record from the Alexandria database describes a relaxed structure of Tb2PmO. The functional is PBE-GGA.

Calculated values
ΔE_f (raw)	-3.2	eV per formula unit
energy above the most stable polymorph in this dataset	534	meV/atom
final energy	-5.549	eV per atom

a = 3.201 Å, b = 3.201 Å, c = 8.907 Å
α = 90.00°, β = 90.00°, γ = 90.00°
Atoms (fractional coordinates):
Tb (0.000, 0.000, 0.173)
Tb (0.000, 0.000, 0.827)
Pm (0.500, 0.500, 0.500)
O (0.500, 0.500, 0.000)

---

No. 7
This record from the Alexandria database describes a relaxed structure of TbPm2O4. The functional is PBE-GGA.

Calculated values
ΔE_f (raw)	-21.8	eV per formula unit
final energy	-7.970	eV per atom

a = 3.529 Å, b = 6.072 Å, c = 6.489 Å
α = 120.53°, β = 105.78°, γ = 90.00°
Atoms (fractional coordinates):
O (0.358, 0.738, 0.716)
O (0.642, 0.262, 0.284)
O (0.870, 0.159, 0.741)
O (0.130, 0.841, 0.259)
Pm (0.303, 0.305, 0.607)
Pm (0.697, 0.695, 0.393)
Tb (0.000, 0.000, 0.000)

---

No. 8
This record from the Alexandria database describes a relaxed structure of Tb3PmO. The functional is PBE-GGA.

Calculated values
ΔE_f (raw)	-5.4	eV per formula unit
final energy	-5.805	eV per atom

a = 4.983 Å, b = 4.983 Å, c = 4.983 Å
α = 90.00°, β = 90.00°, γ = 90.00°
Atoms (fractional coordinates):
O (0.000, 0.000, 0.000)
Tb (0.000, 0.500, 0.000)
Tb (0.000, 0.000, 0.500)
Tb (0.500, 0.000, 0.000)
Pm (0.500, 0.500, 0.500)

---

No. 9
This record from the Alexandria database describes a relaxed structure of TbPm2TcO8. The functional is PBE-GGA.

Calculated values
ΔE_f (raw)	-30.6	eV per formula unit
final energy	-7.899	eV per atom

a = 5.157 Å, b = 5.157 Å, c = 6.861 Å
α = 90.00°, β = 90.00°, γ = 90.63°
Atoms (fractional coordinates):
O (0.823, 0.178, 0.794)
O (0.304, 0.303, 0.500)
O (0.261, 0.260, 0.000)
O (0.739, 0.740, 0.000)
O (0.177, 0.822, 0.206)
O (0.823, 0.178, 0.206)
O (0.696, 0.697, 0.500)
O (0.177, 0.822, 0.794)
Tc (0.000, 0.000, 0.000)
Pm (0.500, 0.500, 0.249)
Pm (0.500, 0.500, 0.751)
Tb (0.000, 0.000, 0.500)

---

No. 10
This record from the Alexandria database describes a relaxed structure of TbPmTe2O8. The functional is PBE-GGA.

Calculated values
ΔE_f (raw)	-23.2	eV per formula unit
final energy	-6.546	eV per atom

a = 6.315 Å, b = 6.315 Å, c = 6.315 Å
α = 107.40°, β = 107.40°, γ = 113.69°
Atoms (fractional coordinates):
O (0.886, 0.699, 0.188)
O (0.732, 0.051, 0.682)
O (0.369, 0.051, 0.318)
O (0.949, 0.268, 0.318)
O (0.301, 0.114, 0.812)
O (0.949, 0.631, 0.682)
O (0.301, 0.489, 0.188)
O (0.511, 0.699, 0.812)
Te (0.500, 0.500, 0.000)
Te (0.750, 0.250, 0.500)
Pm (0.000, 0.000, 0.000)
Tb (0.250, 0.750, 0.500)

---

No. 11
This record from the Alexandria database describes a relaxed structure of TbPmTe2O. The functional is PBE-GGA.

Calculated values
ΔE_f (raw)	-10.3	eV per formula unit
final energy	-6.192	eV per atom

a = 4.201 Å, b = 4.201 Å, c = 15.861 Å
α = 90.00°, β = 90.00°, γ = 90.00°
Atoms (fractional coordinates):
Pm (0.000, 0.500, 0.431)
Pm (0.500, 0.000, 0.569)
O (0.500, 0.500, 0.500)
O (0.000, 0.000, 0.500)
Tb (0.500, 0.000, 0.131)
Tb (0.000, 0.500, 0.869)
Te (0.500, 0.000, 0.313)
Te (0.000, 0.500, 0.084)
Te (0.000, 0.500, 0.687)
Te (0.500, 0.000, 0.916)

---

No. 12
This record from the Alexandria database describes a relaxed structure of TbPm2TeO8. The functional is PBE-GGA.

Calculated values
ΔE_f (raw)	-29.2	eV per formula unit
final energy	-7.179	eV per atom

a = 5.160 Å, b = 5.158 Å, c = 6.985 Å
α = 90.00°, β = 90.00°, γ = 90.95°
Atoms (fractional coordinates):
O (0.177, 0.821, 0.210)
O (0.177, 0.821, 0.790)
O (0.695, 0.696, 0.500)
O (0.823, 0.179, 0.210)
O (0.269, 0.267, 0.000)
O (0.731, 0.733, 0.000)
O (0.823, 0.179, 0.790)
O (0.305, 0.304, 0.500)
Tb (0.000, 0.000, 0.500)
Pm (0.500, 0.500, 0.751)
Pm (0.500, 0.500, 0.249)
Te (0.000, 0.000, 0.000)

---

No. 13
This record from the Alexandria database describes a relaxed structure of TbPmTeO6. The functional is PBE-GGA.

Calculated values
ΔE_f (raw)	-21.9	eV per formula unit
final energy	-7.128	eV per atom

a = 5.613 Å, b = 5.613 Å, c = 9.722 Å
α = 90.00°, β = 90.00°, γ = 120.00°
Atoms (fractional coordinates):
O (0.044, 0.377, 0.637)
O (0.333, 0.956, 0.637)
O (0.377, 0.044, 0.137)
O (0.956, 0.623, 0.363)
O (0.377, 0.333, 0.363)
O (0.044, 0.667, 0.863)
O (0.623, 0.956, 0.863)
O (0.333, 0.377, 0.863)
O (0.667, 0.044, 0.363)
O (0.623, 0.667, 0.637)
O (0.667, 0.623, 0.137)
O (0.956, 0.333, 0.137)
Pm (0.000, 0.000, 0.000)
Pm (0.000, 0.000, 0.500)
Te (0.333, 0.667, 0.750)
Te (0.667, 0.333, 0.250)
Tb (0.333, 0.667, 0.250)
Tb (0.667, 0.333, 0.750)

---

No. 14
This record from the Alexandria database describes a relaxed structure of TbPm12Tl4O3. The functional is PBE-GGA.

Calculated values
ΔE_f (raw)	-14.8	eV per formula unit
final energy	-5.037	eV per atom

a = 8.894 Å, b = 8.894 Å, c = 8.894 Å
α = 109.47°, β = 109.47°, γ = 109.47°
Atoms (fractional coordinates):
Pm (0.000, 0.725, 0.725)
Pm (0.275, 0.000, 0.275)
Pm (0.275, 0.275, 0.000)
Pm (0.500, 0.250, 0.750)
Pm (0.250, 0.750, 0.500)
Pm (0.750, 0.500, 0.250)
Pm (0.250, 0.500, 0.750)
Pm (0.725, 0.000, 0.725)
Pm (0.500, 0.750, 0.250)
Pm (0.750, 0.250, 0.500)
Pm (0.725, 0.725, 0.000)
Pm (0.000, 0.275, 0.275)
Tl (0.000, 0.000, 0.500)
Tl (0.500, 0.000, 0.000)
Tl (0.000, 0.500, 0.000)
Tl (0.500, 0.500, 0.500)
Tb (0.000, 0.000, 0.000)
O (0.500, 0.000, 0.500)
O (0.500, 0.500, 0.000)
O (0.000, 0.500, 0.500)

---

No. 15
This record from the Alexandria database describes a relaxed structure of TbPm2UO8. The functional is PBE-GGA.

Calculated values
ΔE_f (raw)	-38.7	eV per formula unit
final energy	-8.645	eV per atom

a = 3.908 Å, b = 5.475 Å, c = 7.635 Å
α = 90.00°, β = 90.00°, γ = 90.02°
Atoms (fractional coordinates):
Pm (0.500, 0.500, 0.750)
Pm (0.500, 0.500, 0.250)
U (0.000, 0.000, 0.000)
O (0.500, 0.245, 0.500)
O (0.500, 0.755, 0.500)
O (0.000, 0.765, 0.226)
O (0.000, 0.765, 0.774)
O (0.500, 0.225, 0.000)
O (0.000, 0.235, 0.226)
O (0.000, 0.235, 0.774)
O (0.500, 0.775, 0.000)
Tb (0.000, 0.000, 0.500)

---

No. 16
This record from the Alexandria database describes a relaxed structure of Tb2PmUO8. The functional is PBE-GGA.

Calculated values
ΔE_f (raw)	-39.1	eV per formula unit
final energy	-8.669	eV per atom

a = 3.913 Å, b = 5.359 Å, c = 7.636 Å
α = 90.00°, β = 90.00°, γ = 90.02°
Atoms (fractional coordinates):
Pm (0.000, 0.000, 0.500)
Tb (0.500, 0.500, 0.243)
Tb (0.500, 0.500, 0.757)
O (0.500, 0.231, 0.000)
O (0.000, 0.758, 0.776)
O (0.500, 0.260, 0.500)
O (0.000, 0.758, 0.224)
O (0.000, 0.242, 0.776)
O (0.500, 0.769, 0.000)
O (0.000, 0.242, 0.224)
O (0.500, 0.740, 0.500)
U (0.000, 0.000, 0.000)